[1]
# GGA-PBE CeTm4Th, optimized geometry
data_CeTm4Th
_chemical_formula_sum 'Ce2 Tm8 Th2'
_space_group_name_H-M_alt 'C 1 2/m 1'
_space_group_IT_number 12
_cell_length_a 16.8972
_cell_length_b 3.5313
_cell_length_c 6.0993
_cell_angle_alpha 90.00
_cell_angle_beta 96.90
_cell_angle_gamma 90.00
loop_
_space_group_symop_operation_xyz
'x,y,z'
'-x,-y,-z'
'-x,y,-z'
'x,-y,z'
'x+1/2,y+1/2,z'
'-x+1/2,-y+1/2,-z'
'-x+1/2,y+1/2,-z'
'x+1/2,-y+1/2,z'
loop_
_atom_site_label
_atom_site_fract_x
_atom_site_fract_y
_atom_site_fract_z
Ce1 0.0000 0.0000 0.0000
Tm1 0.1654 0.0000 0.3887
Tm2 0.1657 0.5000 0.8888
Th1 0.0000 0.5000 0.5000
# DOS(E_F)	1.649	states/eV per atom
# energy	-5.21	eV per atom
# relative energy among the computed polymorphs	0	meV per atom

[2]
# GGA-PBE LiScAl2Se, optimized geometry
data_LiScAl2Se
_chemical_formula_sum 'Li1 Sc1 Al2 Se1'
_space_group_name_H-M_alt 'P 4/m m m'
_space_group_IT_number 123
_space_group_name_Hall '-P 4 2'
_cell_length_a 5.0364
_cell_length_b 5.0364
_cell_length_c 4.9794
_cell_angle_alpha 90.00
_cell_angle_beta 90.00
_cell_angle_gamma 90.00
loop_
_atom_site_label
_atom_site_fract_x
_atom_site_fract_y
_atom_site_fract_z
Li1 0.0000 0.0000 0.0000
Sc1 0.5000 0.5000 0.0000
Al1 0.0000 0.5000 0.5000
Se1 0.5000 0.5000 0.5000
# DOS(E_F)	0.675	states/eV per atom
# energy	-3.63	eV per atom